# MnCd, optimized geometry, DFT PBE
data_MnCd
_cell_length_a 5.4841
_cell_length_b 5.4841
_cell_length_c 5.4841
_cell_angle_alpha 90.00
_cell_angle_beta 90.00
_cell_angle_gamma 90.00
_symmetry_space_group_name_H-M 'F m -3 m'
_symmetry_Int_Tables_number 225
_symmetry_space_group_name_Hall '-F 4 2 3'
loop_
_atom_site_label
_atom_site_type_symbol
_atom_site_fract_x
_atom_site_fract_y
_atom_site_fract_z
_atom_site_occupancy
Mn1 Mn 0.0000 0.0000 0.0000 1
Cd1 Cd 0.0000 0.0000 0.5000 1
# **Calculated formation energy**: 0.729 eV per atom
# **Final energy**: -8.6 eV/f.u.
# **Fermi-level density of states**: 1.025 states/eV/atom

***

# LuZr2Sb, optimized geometry, DFT PBE
data_LuZr2Sb
_cell_length_a 4.3933
_cell_length_b 4.3933
_cell_length_c 4.8264
_cell_angle_alpha 90.00
_cell_angle_beta 90.00
_cell_angle_gamma 90.00
_symmetry_space_group_name_H-M 'P 4/m m m'
_symmetry_Int_Tables_number 123
_symmetry_space_group_name_Hall '-P 4 2'
loop_
_atom_site_label
_atom_site_type_symbol
_atom_site_fract_x
_atom_site_fract_y
_atom_site_fract_z
_atom_site_occupancy
Lu1 Lu 0.0000 0.0000 0.0000 1
Zr1 Zr 0.0000 0.5000 0.5000 1
Sb1 Sb 0.5000 0.5000 0.0000 1
# **Distance to the lowest polymorph of the same formula**: 0.00 kJ per mole of atoms
# **Formation energy (no corrections)**: -383.3 meV per atom
# **Final energy**: -27.3 eV/f.u.
# **Fermi-level density of states**: 1.147 states/eV/atom

***

# As5C, optimized geometry, DFT PBE
data_As5C
_cell_length_a 7.7287
_cell_length_b 7.7287
_cell_length_c 7.7287
_cell_angle_alpha 90.00
_cell_angle_beta 90.00
_cell_angle_gamma 90.00
_symmetry_space_group_name_H-M 'F -4 3 m'
_symmetry_Int_Tables_number 216
_symmetry_space_group_name_Hall 'F -4 2 3'
loop_
_atom_site_label
_atom_site_type_symbol
_atom_site_fract_x
_atom_site_fract_y
_atom_site_fract_z
_atom_site_occupancy
As1 As 0.0000 0.0000 0.0000 1
As2 As 0.1222 0.1222 0.6222 1
C1 C 0.2500 0.2500 0.2500 1
# **Distance to the lowest polymorph of the same formula**: 95.42 kJ per mole of atoms
# **Calculated formation energy**: 1.511 eV per atom
# **Final energy**: -23.4 eV/f.u.
# **Fermi-level density of states**: 0.699 states/eV/atom

***

# K3CSe, optimized geometry, DFT PBE
data_K3CSe
_cell_length_a 5.5321
_cell_length_b 5.5321
_cell_length_c 5.5321
_cell_angle_alpha 90.00
_cell_angle_beta 90.00
_cell_angle_gamma 90.00
_symmetry_space_group_name_H-M 'P m -3 m'
_symmetry_Int_Tables_number 221
_symmetry_space_group_name_Hall '-P 4 2 3'
loop_
_atom_site_label
_atom_site_type_symbol
_atom_site_fract_x
_atom_site_fract_y
_atom_site_fract_z
_atom_site_occupancy
K1 K 0.0000 0.0000 0.5000 1
C1 C 0.0000 0.0000 0.0000 1
Se1 Se 0.5000 0.5000 0.5000 1
# **Distance to the lowest polymorph of the same formula**: 0.00 kJ per mole of atoms
# **Formation energy (no corrections)**: 386.7 meV per atom
# **Final energy**: -14.1 eV/f.u.
# **Fermi-level density of states**: 0.000 states/eV/atom

***

# Tm3TaPt12, optimized geometry, DFT PBE
data_Tm3TaPt12
_cell_length_a 4.0633
_cell_length_b 4.0633
_cell_length_c 16.3030
_cell_angle_alpha 90.00
_cell_angle_beta 90.00
_cell_angle_gamma 90.00
_symmetry_space_group_name_H-M 'P 4/m m m'
_symmetry_Int_Tables_number 123
_symmetry_space_group_name_Hall '-P 4 2'
loop_
_atom_site_label
_atom_site_type_symbol
_atom_site_fract_x
_atom_site_fract_y
_atom_site_fract_z
_atom_site_occupancy
Tm1 Tm 0.0000 0.0000 0.0000 1
Tm2 Tm 0.0000 0.0000 0.2500 1
Ta1 Ta 0.0000 0.0000 0.5000 1
Pt1 Pt 0.0000 0.5000 0.1265 1
Pt2 Pt 0.0000 0.5000 0.3832 1
Pt3 Pt 0.5000 0.5000 0.0000 1
Pt4 Pt 0.5000 0.5000 0.2551 1
Pt5 Pt 0.5000 0.5000 0.5000 1
# **Calculated formation energy**: -1.017 eV per atom
# **Final energy**: -114.0 eV/f.u.
# **Fermi-level density of states**: 0.584 states/eV/atom

***

# AcAgRhPb, optimized geometry, DFT PBE
data_AcAgRhPb
_cell_length_a 7.3111
_cell_length_b 7.3111
_cell_length_c 7.3111
_cell_angle_alpha 90.00
_cell_angle_beta 90.00
_cell_angle_gamma 90.00
_symmetry_space_group_name_H-M 'F -4 3 m'
_symmetry_Int_Tables_number 216
_symmetry_space_group_name_Hall 'F -4 2 3'
loop_
_atom_site_label
_atom_site_type_symbol
_atom_site_fract_x
_atom_site_fract_y
_atom_site_fract_z
_atom_site_occupancy
Ac1 Ac 0.0000 0.0000 0.0000 1
Ag1 Ag 0.2500 0.2500 0.7500 1
Rh1 Rh 0.2500 0.2500 0.2500 1
Pb1 Pb 0.0000 0.0000 0.5000 1
# **Calculated formation energy**: -0.229 eV per atom
# **Final energy**: -18.9 eV/f.u.
# **Fermi-level density of states**: 0.803 states/eV/atom

***

# Ba2MgAg2, optimized geometry, DFT PBE
data_Ba2MgAg2
_cell_length_a 6.5553
_cell_length_b 6.5553
_cell_length_c 8.4841
_cell_angle_alpha 90.00
_cell_angle_beta 90.00
_cell_angle_gamma 90.00
_symmetry_space_group_name_H-M 'I 4/m m m'
_symmetry_Int_Tables_number 139
_symmetry_space_group_name_Hall '-I 4 2'
loop_
_atom_site_label
_atom_site_type_symbol
_atom_site_fract_x
_atom_site_fract_y
_atom_site_fract_z
_atom_site_occupancy
Ba1 Ba 0.0000 0.5000 0.2500 1
Mg1 Mg 0.0000 0.0000 0.0000 1
Ag1 Ag 0.0000 0.0000 0.3395 1
# **Distance to the lowest polymorph of the same formula**: 13.92 kJ per mole of atoms
# **Calculated formation energy**: -0.089 eV per atom
# **Final energy**: -11.6 eV/f.u.
# **Fermi-level density of states**: 0.547 states/eV/atom

***

# Pr8Nd6Y, optimized geometry, DFT PBE
data_Pr8Nd6Y
_cell_length_a 9.6287
_cell_length_b 9.6287
_cell_length_c 6.7800
_cell_angle_alpha 90.00
_cell_angle_beta 90.00
_cell_angle_gamma 120.00
_symmetry_space_group_name_H-M 'P -3'
_symmetry_Int_Tables_number 147
_symmetry_space_group_name_Hall '-P 3'
loop_
_atom_site_label
_atom_site_type_symbol
_atom_site_fract_x
_atom_site_fract_y
_atom_site_fract_z
_atom_site_occupancy
Pr1 Pr 0.0293 0.7452 0.1623 1
Pr2 Pr 0.3333 0.6667 0.1105 1
Nd1 Nd 0.0855 0.6557 0.6556 1
Y1 Y 0.0000 0.0000 0.5000 1
# **Distance to the lowest polymorph of the same formula**: 0.85 kJ per mole of atoms
# **Calculated formation energy**: 0.154 eV per atom
# **Final energy**: -71.0 eV/f.u.
# **Fermi-level density of states**: 1.471 states/eV/atom

***

| no. | M_tot (μB/cell) |
| --- | --- |
| 1 | 15.03 |
| 2 | 0.00 |
| 3 | 4.29 |
| 4 | 3.00 |
| 5 | 0.00 |
| 6 | 0.00 |
| 7 | 0.00 |
| 8 | 0.00 |